[1]
DFT (GGA-PBE) results for crystalline Li3Y3HfS8 at its relaxed geometry.

Values from the calculation:
Energy (eV/atom): -6.342
Space-group type: R-3m, No. 166
Formation energy from raw total energies (eV/atom): -1.80

abc: 7.762 7.762 7.624
angles: 120.62 90.00 120.00
Positions (direct):
Li 0.000 0.000 0.000
Li 0.000 0.500 0.000
Li 0.500 0.500 0.000
Y 0.500 0.000 0.500
Y 0.500 0.500 0.500
Y 0.000 0.500 0.500
Hf 0.000 0.000 0.500
S 0.250 0.499 0.249
S 0.750 0.501 0.751
S 0.763 0.527 0.260
S 0.237 0.473 0.740
S 0.763 0.996 0.260
S 0.237 0.004 0.740
S 0.233 0.996 0.260
S 0.767 0.004 0.740

---

[2]
DFT (GGA-PBE) results for crystalline Li2YHfS4 at its relaxed geometry.

Values from the calculation:
Energy (eV/atom): -6.244
Space-group type: P2/m, No. 10
Formation energy from raw total energies (eV/atom): -1.65

abc: 3.728 6.514 6.555
angles: 109.13 90.00 90.00
Positions (direct):
Li 0.500 0.000 0.500
Li 0.000 0.500 0.500
Y 0.000 0.000 0.000
Hf 0.500 0.500 0.000
S 0.500 0.267 0.254
S 0.500 0.733 0.746
S 0.000 0.265 0.754
S 0.000 0.735 0.246

---

[3]
DFT (GGA-PBE) results for crystalline LiYHfS4 at its relaxed geometry.

Values from the calculation:
Energy (eV/atom): -6.717
Space-group type: Imma, No. 74
Formation energy from raw total energies (eV/atom): -1.74

abc: 7.510 7.730 7.730
angles: 61.37 60.94 60.94
Positions (direct):
Li 0.622 0.628 0.128
Li 0.378 0.372 0.872
Y 0.000 0.000 0.000
Y 0.000 0.500 0.500
Hf 0.500 0.000 0.500
Hf 0.000 0.000 0.500
S 0.750 0.776 0.725
S 0.250 0.775 0.724
S 0.750 0.225 0.276
S 0.250 0.224 0.275
S 0.230 0.768 0.268
S 0.734 0.768 0.268
S 0.266 0.232 0.732
S 0.770 0.232 0.732

---

[4]
DFT (GGA-PBE) results for crystalline Li3HfZr2S6 at its relaxed geometry.

Values from the calculation:
Energy (eV/atom): -6.321
Space-group type: C2/m, No. 12
Formation energy from raw total energies (eV/atom): -1.52

abc: 6.235 6.235 6.630
angles: 99.03 99.03 119.99
Positions (direct):
Li 0.168 0.832 0.500
Li 0.832 0.168 0.500
Li 0.500 0.500 0.500
Hf 0.000 0.000 0.000
Zr 0.334 0.666 0.000
Zr 0.666 0.334 0.000
S 0.917 0.589 0.750
S 0.755 0.755 0.250
S 0.083 0.411 0.250
S 0.589 0.917 0.750
S 0.245 0.245 0.750
S 0.411 0.083 0.250

---

[5]
DFT (GGA-PBE) results for crystalline Li2HfZr2S6 at its relaxed geometry.

Values from the calculation:
Energy (eV/atom): -6.607
Space-group type: C2/m, No. 12
Formation energy from raw total energies (eV/atom): -1.55

abc: 6.259 6.259 6.615
angles: 99.10 99.10 119.89
Positions (direct):
Li 0.831 0.169 0.000
Li 0.169 0.831 0.000
Hf 0.000 0.000 0.500
Zr 0.334 0.666 0.500
Zr 0.666 0.334 0.500
S 0.755 0.755 0.746
S 0.081 0.410 0.745
S 0.245 0.245 0.254
S 0.410 0.081 0.745
S 0.919 0.590 0.255
S 0.590 0.919 0.255

---

[6]
DFT (GGA-PBE) results for crystalline Li2Hf2ZrS6 at its relaxed geometry.

Values from the calculation:
Energy (eV/atom): -6.735
Space-group type: C2/m, No. 12
Formation energy from raw total energies (eV/atom): -1.55

abc: 6.244 6.244 6.603
angles: 99.00 99.00 120.14
Positions (direct):
Li 0.834 0.166 0.000
Li 0.166 0.834 0.000
Hf 0.334 0.666 0.500
Hf 0.666 0.334 0.500
Zr 0.000 0.000 0.500
S 0.743 0.743 0.745
S 0.080 0.419 0.744
S 0.257 0.257 0.255
S 0.419 0.080 0.744
S 0.920 0.581 0.256
S 0.581 0.920 0.256

---

[7]
DFT (GGA-PBE) results for crystalline LiHfZr2S6 at its relaxed geometry.

Values from the calculation:
Energy (eV/atom): -6.839
Space-group type: P1, No. 1
Formation energy from raw total energies (eV/atom): -1.47

abc: 6.430 6.427 7.014
angles: 62.68 62.67 59.99
Positions (direct):
Li 0.816 0.816 0.552
Hf 0.329 0.328 0.014
Zr 0.508 0.509 0.474
Zr 0.003 0.005 0.986
S 0.590 0.236 0.249
S 0.236 0.925 0.248
S 0.926 0.589 0.249
S 0.400 0.740 0.747
S 0.740 0.112 0.747
S 0.112 0.401 0.748

---

[8]
DFT (GGA-PBE) results for crystalline LiHfZrS4 at its relaxed geometry.

Values from the calculation:
Energy (eV/atom): -6.827
Space-group type: Imma, No. 74
Formation energy from raw total energies (eV/atom): -1.55

abc: 7.493 7.491 7.491
angles: 59.82 59.99 59.99
Positions (direct):
Li 0.624 0.626 0.126
Li 0.376 0.374 0.874
Hf 0.500 0.000 0.500
Hf 0.000 0.000 0.500
Zr 0.000 0.000 0.000
Zr 0.000 0.500 0.500
S 0.754 0.760 0.731
S 0.246 0.769 0.740
S 0.754 0.231 0.260
S 0.246 0.240 0.269
S 0.233 0.759 0.259
S 0.750 0.759 0.259
S 0.250 0.241 0.741
S 0.767 0.241 0.741

---

[9]
DFT (GGA-PBE) results for crystalline Li4HfZr3S8 at its relaxed geometry.

Values from the calculation:
Energy (eV/atom): -6.292
Space-group type: R-3m, No. 166
Formation energy from raw total energies (eV/atom): -1.52

abc: 7.201 7.549 7.201
angles: 118.49 120.00 90.00
Positions (direct):
Li 0.500 0.000 0.000
Li 0.500 0.000 0.500
Li 0.000 0.000 0.000
Li 0.000 0.000 0.500
Hf 0.000 0.500 0.000
Zr 0.500 0.500 0.000
Zr 0.500 0.500 0.500
Zr 0.000 0.500 0.500
S 0.248 0.750 0.002
S 0.248 0.750 0.495
S 0.249 0.247 0.498
S 0.754 0.750 0.002
S 0.246 0.250 0.998
S 0.751 0.753 0.502
S 0.752 0.250 0.505
S 0.752 0.250 0.998

---

[10]
DFT (GGA-PBE) results for crystalline Li2HfSb at its relaxed geometry.

Values from the calculation:
Energy (eV/atom): -4.529
Space-group type: I-42d, No. 122
Formation energy from raw total energies (eV/atom): -0.05

abc: 4.060 4.060 11.111
angles: 79.47 79.47 90.00
Positions (direct):
Sb 0.500 0.500 0.000
Sb 0.250 0.750 0.500
Hf 0.000 0.000 0.000
Hf 0.750 0.250 0.500
Li 0.617 0.125 0.250
Li 0.133 0.625 0.250
Li 0.375 0.383 0.750
Li 0.875 0.867 0.750

---

[11]
DFT (GGA-PBE) results for crystalline Li3Hf5Sb12 at its relaxed geometry.

Values from the calculation:
Energy (eV/atom): -5.224
Space-group type: Ia-3d, No. 230
Formation energy from raw total energies (eV/atom): 0.03

abc: 14.764 14.764 14.764
angles: 109.47 109.47 109.47
Positions (direct):
Li 0.750 0.375 0.125
Li 0.875 0.750 0.125
Li 0.375 0.750 0.625
Li 0.250 0.125 0.375
Li 0.875 0.125 0.250
Li 0.375 0.625 0.250
Li 0.625 0.375 0.750
Li 0.125 0.875 0.750
Li 0.750 0.875 0.625
Li 0.625 0.250 0.375
Li 0.125 0.250 0.875
Li 0.250 0.625 0.875
Hf 0.125 0.375 0.250
Hf 0.000 0.500 0.000
Hf 0.000 0.000 0.000
Hf 0.375 0.250 0.125
Hf 0.500 0.000 0.500
Hf 0.500 0.500 0.000
Hf 0.125 0.750 0.375
Hf 0.750 0.125 0.875
Hf 0.750 0.625 0.375
Hf 0.375 0.125 0.750
Hf 0.625 0.875 0.250
Hf 0.500 0.500 0.500
Hf 0.500 0.000 0.000
Hf 0.000 0.000 0.500
Hf 0.250 0.375 0.625
Hf 0.250 0.875 0.125
Hf 0.000 0.500 0.500
Hf 0.875 0.250 0.625
Hf 0.625 0.750 0.875
Hf 0.875 0.625 0.750
Sb 0.730 0.101 0.051
Sb 0.321 0.551 0.450
Sb 0.949 0.399 0.270
Sb 0.551 0.230 0.101
Sb 0.629 0.730 0.679
Sb 0.949 0.550 0.179
Sb 0.321 0.770 0.371
Sb 0.050 0.871 0.101
Sb 0.550 0.949 0.679
Sb 0.730 0.629 0.179
Sb 0.770 0.449 0.399
Sb 0.821 0.950 0.051
Sb 0.101 0.730 0.551
Sb 0.399 0.450 0.129
Sb 0.129 0.950 0.399
Sb 0.371 0.101 0.550
Sb 0.129 0.179 0.230
Sb 0.449 0.679 0.050
Sb 0.821 0.871 0.270
Sb 0.101 0.371 0.050
Sb 0.399 0.949 0.770
Sb 0.550 0.601 0.371
Sb 0.950 0.821 0.551
Sb 0.770 0.321 0.871
Sb 0.450 0.399 0.629
Sb 0.050 0.179 0.449
Sb 0.230 0.679 0.129
Sb 0.179 0.129 0.730
Sb 0.601 0.051 0.230
Sb 0.899 0.629 0.950
Sb 0.551 0.321 0.950
Sb 0.629 0.899 0.450
Sb 0.871 0.821 0.770
Sb 0.871 0.050 0.601
Sb 0.899 0.270 0.449
Sb 0.179 0.050 0.949
Sb 0.601 0.550 0.871
Sb 0.450 0.051 0.321
Sb 0.270 0.371 0.821
Sb 0.230 0.551 0.601
Sb 0.950 0.129 0.899
Sb 0.679 0.230 0.629
Sb 0.449 0.770 0.899
Sb 0.051 0.450 0.821
Sb 0.371 0.270 0.321
Sb 0.051 0.601 0.730
Sb 0.679 0.449 0.550
Sb 0.270 0.899 0.949

---

[12]
DFT (GGA-PBE) results for crystalline LiHfSb3 at its relaxed geometry.

Values from the calculation:
Energy (eV/atom): -4.767
Space-group type: Pm-3m, No. 221
Formation energy from raw total energies (eV/atom): 0.08
Energy above the lowest structure with this stoichiometry (kJ per mole of atoms): 0.0

abc: 5.531 5.531 5.531
angles: 90.00 90.00 90.00
Positions (direct):
Sb 0.000 0.500 0.000
Sb 0.000 0.000 0.500
Sb 0.500 0.000 0.000
Hf 0.000 0.000 0.000
Li 0.500 0.500 0.500

---

[13]
DFT (GGA-PBE) results for crystalline LiHf2Sb2 at its relaxed geometry.

Values from the calculation:
Energy (eV/atom): -6.403
Space-group type: P4/mbm, No. 127
Formation energy from raw total energies (eV/atom): -0.39
Energy above the lowest structure with this stoichiometry (kJ per mole of atoms): 0.0

abc: 7.733 7.733 3.780
angles: 90.00 90.00 90.00
Positions (direct):
Sb 0.345 0.845 0.000
Sb 0.845 0.655 0.000
Sb 0.655 0.155 0.000
Sb 0.155 0.345 0.000
Hf 0.141 0.641 0.500
Hf 0.641 0.859 0.500
Hf 0.859 0.359 0.500
Hf 0.359 0.141 0.500
Li 0.000 0.000 0.000
Li 0.500 0.500 0.000

---

[14]
DFT (GGA-PBE) results for crystalline LiHfSb3 at its relaxed geometry.

Values from the calculation:
Energy (eV/atom): -4.410
Space-group type: Pm-3m, No. 221
Formation energy from raw total energies (eV/atom): 0.44
Energy above the lowest structure with this stoichiometry (kJ per mole of atoms): 34.4

abc: 4.945 4.945 4.945
angles: 90.00 90.00 90.00
Positions (direct):
Sb 0.000 0.500 0.000
Sb 0.000 0.000 0.500
Sb 0.500 0.000 0.000
Hf 0.500 0.500 0.500
Li 0.000 0.000 0.000

---

[15]
DFT (GGA-PBE) results for crystalline LiHf2Sb2 at its relaxed geometry.

Values from the calculation:
Energy (eV/atom): -6.246
Space-group type: P4/mbm, No. 127
Formation energy from raw total energies (eV/atom): -0.23
Energy above the lowest structure with this stoichiometry (kJ per mole of atoms): 15.1

abc: 7.951 7.951 3.686
angles: 90.00 90.00 90.00
Positions (direct):
Sb 0.161 0.661 0.500
Sb 0.661 0.839 0.500
Sb 0.839 0.339 0.500
Sb 0.339 0.161 0.500
Hf 0.366 0.866 0.000
Hf 0.866 0.634 0.000
Hf 0.634 0.134 0.000
Hf 0.134 0.366 0.000
Li 0.000 0.000 0.000
Li 0.500 0.500 0.000

---

[16]
DFT (GGA-PBE) results for crystalline Li2Hf5Sb5 at its relaxed geometry.

Values from the calculation:
Energy (eV/atom): -6.374
Space-group type: I4mm, No. 107
Formation energy from raw total energies (eV/atom): -0.19

abc: 6.079 7.506 7.506
angles: 80.56 66.11 66.11
Positions (direct):
Li 0.251 0.500 0.500
Li 0.751 0.500 0.500
Hf 0.135 0.424 0.000
Hf 0.559 0.576 0.000
Hf 0.135 0.000 0.424
Hf 0.559 0.000 0.576
Hf 0.880 0.000 0.000
Sb 0.001 0.715 0.285
Sb 0.001 0.285 0.715
Sb 0.716 0.285 0.285
Sb 0.417 0.000 0.000
Sb 0.286 0.715 0.715

---

[17]
DFT (GGA-PBE) results for crystalline LiHf2ScSb at its relaxed geometry.

Values from the calculation:
Energy (eV/atom): -6.106
Space-group type: P4/mmm, No. 123
Formation energy from raw total energies (eV/atom): 0.35

abc: 4.731 4.751 4.731
angles: 90.00 90.00 90.00
Positions (direct):
Sc 0.000 0.500 0.000
Sb 0.500 0.500 0.500
Hf 0.000 0.000 0.500
Hf 0.500 0.000 0.000
Li 0.000 0.000 0.000

---

[18]
DFT (GGA-PBE) results for crystalline LiHfTcSb at its relaxed geometry.

Values from the calculation:
Energy (eV/atom): -6.902
Space-group type: F-43m, No. 216
Formation energy from raw total energies (eV/atom): -0.31

abc: 4.579 4.579 4.579
angles: 60.00 60.00 60.00
Positions (direct):
Sb 0.250 0.250 0.250
Hf 0.750 0.750 0.750
Tc 0.500 0.500 0.500
Li 0.000 0.000 0.000

---

[19]
DFT (GGA-PBE) results for crystalline LiHfSbTe2 at its relaxed geometry.

Values from the calculation:
Energy (eV/atom): -4.646
Space-group type: P4/mmm, No. 123
Formation energy from raw total energies (eV/atom): -0.19
Energy above the lowest structure with this stoichiometry (kJ per mole of atoms): 0.0

abc: 5.602 5.602 5.567
angles: 90.00 90.00 90.00
Positions (direct):
Sb 0.000 0.000 0.500
Te 0.000 0.500 0.000
Te 0.500 0.000 0.000
Hf 0.000 0.000 0.000
Li 0.500 0.500 0.500

---

[20]
DFT (GGA-PBE) results for crystalline LiHfSb2Te at its relaxed geometry.

Values from the calculation:
Energy (eV/atom): -4.244
Space-group type: P4/mmm, No. 123
Formation energy from raw total energies (eV/atom): 0.41
Energy above the lowest structure with this stoichiometry (kJ per mole of atoms): 42.3

abc: 4.880 4.880 5.153
angles: 90.00 90.00 90.00
Positions (direct):
Sb 0.000 0.500 0.000
Sb 0.500 0.000 0.000
Te 0.000 0.000 0.500
Hf 0.500 0.500 0.500
Li 0.000 0.000 0.000